An optimized crystal structure of Ba12Rh3Au5. Source: Alexandria, functional PBE.

```
Ba12Rh3Au5
1.0
-9.509 9.509 9.509
9.509 -9.509 9.509
9.509 9.509 -9.509
Ba Rh Au
48 12 20
Cartesian
2.888 -0.411 1.462 Ba
11.377 6.217 -5.166 Ba
9.098 -1.462 2.888 Ba
14.675 -1.867 3.293 Ba
12.397 0.411 1.462 Ba
11.377 -3.293 5.166 Ba
1.462 2.888 -0.411 Ba
12.802 4.344 -1.867 Ba
6.217 5.166 -1.867 Ba
8.047 2.888 0.411 Ba
-0.411 1.462 2.888 Ba
5.166 -1.867 6.217 Ba
9.098 8.047 -2.888 Ba
5.166 1.867 3.293 Ba
8.047 -2.888 9.098 Ba
6.217 -5.166 11.377 Ba
3.293 5.166 1.867 Ba
10.971 6.622 0.411 Ba
2.888 9.098 -1.462 Ba
11.377 3.293 4.344 Ba
5.166 11.377 -3.293 Ba
9.098 1.462 6.622 Ba
1.867 3.293 5.166 Ba
2.888 0.411 8.047 Ba
6.622 9.098 1.462 Ba
7.642 6.217 4.344 Ba
0.411 8.047 2.888 Ba
4.344 -1.867 12.802 Ba
-1.867 6.217 5.166 Ba
6.622 0.411 10.971 Ba
-1.462 2.888 9.098 Ba
6.217 4.344 7.642 Ba
3.293 14.675 -1.867 Ba
1.462 12.397 0.411 Ba
4.344 7.642 6.217 Ba
0.411 1.462 12.397 Ba
4.344 11.377 3.293 Ba
9.920 8.047 6.622 Ba
1.462 6.622 9.098 Ba
3.293 4.344 11.377 Ba
-3.293 5.166 11.377 Ba
8.047 6.622 9.920 Ba
-1.867 12.802 4.344 Ba
-2.888 9.098 8.047 Ba
-5.166 11.377 6.217 Ba
0.411 10.971 6.622 Ba
-1.867 3.293 14.675 Ba
6.622 9.920 8.047 Ba
4.755 2.377 0.000 Rh
9.509 4.755 -2.377 Rh
2.377 0.000 4.755 Rh
11.887 0.000 4.755 Rh
0.000 4.755 2.377 Rh
4.755 -2.377 9.509 Rh
4.755 11.887 0.000 Rh
9.509 4.755 7.132 Rh
-2.377 9.509 4.755 Rh
7.132 9.509 4.755 Rh
0.000 4.755 11.887 Rh
4.755 7.132 9.509 Rh
0.000 0.000 0.000 Au
4.755 4.755 -4.755 Au
4.755 -4.755 4.755 Au
9.509 0.000 0.000 Au
14.264 2.377 0.000 Au
9.509 -4.755 7.132 Au
7.132 9.509 -4.755 Au
7.132 0.000 4.755 Au
4.755 7.132 0.000 Au
9.509 4.755 2.377 Au
-4.755 4.755 4.755 Au
0.000 9.509 0.000 Au
0.000 0.000 9.509 Au
4.755 4.755 4.755 Au
0.000 4.755 7.132 Au
4.755 2.377 9.509 Au
2.377 9.509 4.755 Au
2.377 0.000 14.264 Au
0.000 14.264 2.377 Au
-4.755 7.132 9.509 Au
```

Summary:
E   -261.5 eV for the cell shown
Magnetic moment   0.000 μB per atom